(1)
DFT (GGA-PBEsol) results for an optimized crystal structure of ScP2Cl.

Results
- Calculated density: 2.803 Mg/m³

Lattice parameters (Å, degrees): 3.3222 3.7902 6.6976 89.84 90.00 90.00
Fractional positions:
Cl 0.5000 0.3786 0.7059
Sc 0.0000 0.3566 0.4218
P 0.0000 0.9118 0.0818
P 0.5000 0.8530 0.2904

***

(2)
DFT (GGA-PBEsol) results for an optimized crystal structure of Er2Ni12P7.

Results
- Calculated density: 8.366 Mg/m³
- Formation energy from the elements: -856 meV per atom

Lattice parameters (Å, degrees): 3.6238 8.9116 8.9116 120.00 90.00 90.00
Fractional positions:
Ni 0.0000 0.1817 0.7905
P 0.0000 0.4473 0.3740
Ni 0.0000 0.7080 0.6058
Er 0.0000 0.0000 0.0000
Ni 0.5000 0.4543 0.5719
P 0.5000 0.0381 0.2605
P 0.5000 0.7395 0.7775
Ni 0.5000 0.1176 0.5457
Ni 0.5000 0.2835 0.2360
P 0.0000 0.9268 0.5527
Ni 0.0000 0.2095 0.3912
P 0.0000 0.3333 0.6667
Ni 0.5000 0.4281 0.8824
Er 0.5000 0.6667 0.3333
Ni 0.0000 0.3942 0.1022
Ni 0.0000 0.6088 0.8183
P 0.0000 0.6260 0.0732
P 0.5000 0.2225 0.9619
Ni 0.5000 0.7640 0.0475
Ni 0.0000 0.8978 0.2920
Ni 0.5000 0.9525 0.7165

***

Number 1: E_tot -23.92 eV for the cell shown. Number 2: E_tot -142.25 eV for the cell shown.